Here is Zr4Nb2Sb after structural relaxation from Alexandria via LeMat-Bulk. Energies are from PBE.

The structure belongs to space group I4/mmm (No. 139); the cell edges are 5.2990, 5.2990 and 13.3966 Å and the angles 90.00°, 90.00° and 90.00°. Symmetry generates all atoms from Zr at (0.0000, 0.0000, 0.2057), Zr at (0.0000, 0.5000, 0.0000), Nb at (0.0000, 0.0000, 0.4014) and Sb at (0.0000, 0.0000, 0.0000).

The calculation puts the density of states at the Fermi level at 11.76 states/eV per cell. The magnetization comes out at 0.0 μB/f.u. The total energy comes out at -7.503 eV/atom. The value obtained for the density is 5.937 g/cm³.

Here is MgGa2Pd after structural relaxation from Alexandria via LeMat-Bulk. Energies are from PBE.

The structure belongs to space group I-42d (No. 122); the cell edges are 3.9539, 3.9539 and 18.6905 Å and the angles 90.00°, 90.00° and 90.00°. Symmetry generates all atoms from Mg at (0.0000, 0.0000, 0.0000), Ga at (0.2328, 0.2500, 0.6250) and Pd at (0.0000, 0.0000, 0.5000).

The calculation puts the density of states at the Fermi level at 7.09 states/eV per cell. For the energy relative to the elements, the calculation gives -0.250 eV per atom. The magnetization comes out at 0.0 μB/f.u. The total energy comes out at -3.461 eV/atom. The value obtained for the density is 6.141 g/cm³.

Here is Sc2SbRu after structural relaxation from Alexandria via LeMat-Bulk. Energies are from PBE.

The structure belongs to space group P4mm (No. 99); the cell edges are 3.2355, 3.2355 and 7.8406 Å and the angles 90.00°, 90.00° and 90.00°. Symmetry generates all atoms from Sc at (0.0000, 0.0000, 0.0000), Sc at (0.5000, 0.5000, 0.3212), Sb at (0.5000, 0.5000, 0.7312) and Ru at (0.0000, 0.0000, 0.5372).

The calculation puts the density of states at the Fermi level at 3.34 states/eV per cell. The magnetization comes out at 0.6 μB/f.u. The total energy comes out at -6.823 eV/atom. The value obtained for the density is 6.327 g/cm³.

Here is PaHgP2O8 after structural relaxation from Alexandria via LeMat-Bulk. Energies are from PBE.

The structure belongs to space group C2/m (No. 12); the cell edges are 9.5651, 5.6272 and 9.0175 Å and the angles 90.00°, 101.77° and 90.00°. Symmetry generates all atoms from Pa at (0.0000, 0.0000, 0.0000), Hg at (0.0000, 0.0000, 0.5000), P at (0.1997, 0.5000, 0.2074), O at (0.1057, 0.2769, 0.1508), O at (0.1753, 0.0000, 0.8818) and O at (0.2487, 0.0000, 0.6229).

The calculation puts the density of states at the Fermi level at 4.84 states/eV per cell. The magnetization comes out at 0.9 μB/f.u. The total energy comes out at -7.348 eV/atom. The value obtained for the density is 4.344 g/cm³.

Here is Ho4NiRu2 after structural relaxation from Alexandria via LeMat-Bulk. Energies are from PBE.

The structure belongs to space group R-3m (No. 166, hexagonal axes); the cell edges are 4.7614, 4.7614 and 23.3799 Å and the angles 90.00°, 90.00° and 120.00°. Symmetry generates all atoms from Ho at (0.0000, 0.0000, 0.1240), Ho at (0.0000, 0.0000, 0.3743), Ni at (0.0000, 0.0000, 0.5000) and Ru at (0.0000, 0.0000, 0.2477).

The calculation puts the density of states at the Fermi level at 12.86 states/eV per cell. For the energy relative to the elements, the calculation gives -0.369 eV per atom. The magnetization comes out at 0.0 μB/f.u. The total energy comes out at -6.461 eV/atom. The value obtained for the density is 9.990 g/cm³.

Here is ThCrSe4 after structural relaxation from Alexandria via LeMat-Bulk. Energies are from PBE.

The structure belongs to space group Pmna (No. 53); the cell edges are 5.5325, 6.7806 and 7.4961 Å and the angles 90.00°, 90.00° and 90.00°. Symmetry generates all atoms from Th at (0.0000, 0.0000, 0.0000), Cr at (0.0000, 0.5000, 0.5000), Se at (0.0000, 0.1723, 0.3585) and Se at (0.2500, 0.3285, 0.7500).

The calculation puts the density of states at the Fermi level at 4.00 states/eV per cell. The magnetization comes out at 3.2 μB/f.u. The total energy comes out at -6.094 eV/atom. The value obtained for the density is 7.085 g/cm³.

Here is GePdRh after structural relaxation from Alexandria via LeMat-Bulk. Energies are from PBE.

The structure belongs to space group F-43m (No. 216); the cell edges are 5.7986, 5.7986 and 5.7986 Å and the angles 90.00°, 90.00° and 90.00°. Symmetry generates all atoms from Ge at (0.0000, 0.0000, 0.0000), Pd at (0.2500, 0.2500, 0.2500) and Rh at (0.2500, 0.2500, 0.7500).

The calculation puts the density of states at the Fermi level at 3.41 states/eV per cell. For the energy relative to the elements, the calculation gives -0.475 eV per atom. The magnetization comes out at 0.0 μB/f.u. The total energy comes out at -6.196 eV/atom. The value obtained for the density is 9.606 g/cm³.

Here is DyY3F after structural relaxation from Alexandria via LeMat-Bulk. Energies are from PBE.

The structure belongs to space group Pm-3m (No. 221); the cell edges are 5.0612, 5.0612 and 5.0612 Å and the angles 90.00°, 90.00° and 90.00°. Symmetry generates all atoms from Dy at (0.0000, 0.0000, 0.0000), Y at (0.0000, 0.5000, 0.5000) and F at (0.5000, 0.5000, 0.5000).

The calculation puts the density of states at the Fermi level at 5.72 states/eV per cell. The magnetization comes out at 0.0 μB/f.u. The total energy comes out at -6.088 eV/atom. The value obtained for the density is 5.741 g/cm³.

Here is Ac2LaErSe6 after structural relaxation from Alexandria via LeMat-Bulk. Energies are from PBE.

The structure belongs to space group R3 (No. 146, hexagonal axes); the cell edges are 7.6591, 7.6591 and 19.8348 Å and the angles 90.00°, 90.00° and 120.00°. Symmetry generates all atoms from Ac at (0.0000, 0.0000, 0.0000), Ac at (0.0000, 0.0000, 0.4979), La at (0.0000, 0.0000, 0.2885), Er at (0.0000, 0.0000, 0.7917), Se at (0.0127, 0.6260, 0.0547) and Se at (0.0256, 0.2995, 0.8855).

The calculation puts the density of states at the Fermi level at 0.00 states/eV per cell. The magnetization comes out at 0.0 μB/f.u. The total energy comes out at -5.805 eV/atom. The value obtained for the density is 6.100 g/cm³.

Here is Ba2ZnSb after structural relaxation from Alexandria via LeMat-Bulk. Energies are from PBE.

The structure belongs to space group P4/mmm (No. 123); the cell edges are 5.6954, 5.6954 and 4.5492 Å and the angles 90.00°, 90.00° and 90.00°. Symmetry generates all atoms from Ba at (0.0000, 0.5000, 0.0000), Zn at (0.0000, 0.0000, 0.5000) and Sb at (0.5000, 0.5000, 0.5000).

The calculation puts the density of states at the Fermi level at 1.69 states/eV per cell. The magnetization comes out at 0.0 μB/f.u. The total energy comes out at -2.923 eV/atom. The value obtained for the density is 5.197 g/cm³. The energy relative to the lowest polymorph listed for this composition comes out at 3.0 kJ/mol of atoms.

Here is NiAu3 after structural relaxation from Alexandria via LeMat-Bulk. Energies are from PBE.

The structure belongs to space group Fmmm (No. 69); the cell edges are 4.5279, 9.6304 and 12.8337 Å and the angles 90.00°, 90.00° and 90.00°. Symmetry generates all atoms from Ni at (0.0000, 0.1271, 0.0000), Au at (0.0000, 0.0000, 0.1843) and Au at (0.0000, 0.1541, 0.3828).

The calculation puts the density of states at the Fermi level at 25.73 states/eV per cell. For the energy relative to the elements, the calculation gives 0.143 eV per atom. The magnetization comes out at 0.4 μB/f.u. The total energy comes out at -3.761 eV/atom. The value obtained for the density is 15.420 g/cm³.

Here is KInTe2 after structural relaxation from Alexandria via LeMat-Bulk. Energies are from PBE.

The structure belongs to space group Pm (No. 6); the cell edges are 3.2404, 6.3580 and 6.3596 Å and the angles 90.00°, 90.03° and 90.00°. Symmetry generates all atoms from K at (0.0000, 0.0000, 0.0000), In at (0.4984, 0.5000, 0.4984), Te at (0.4960, 0.5000, 0.9989) and Te at (0.5037, 0.0000, 0.5000).

The calculation puts the density of states at the Fermi level at 3.36 states/eV per cell. The magnetization comes out at 0.0 μB/f.u. The total energy comes out at -2.969 eV/atom. The value obtained for the density is 5.185 g/cm³.

What is the formula in the first record?
Zr4Nb2Sb

Look up the magnetization of the fifth one.
0.0 μB/f.u.